A plane-wave DFT calculation with PBE with a Hubbard U was carried out for a relaxed structure of K2Li3WO6.

abc: 6.6730 6.6730 5.1755
angles: 98.67 98.67 128.18
Closest atoms and distances in Å follow each position.
Positions (direct):
K 0.3211 0.6789 0.0000  6 O 2.66-2.85
O 0.7842 0.7842 0.2176  1 W 1.96, 2 Li 1.98
Li 0.8996 0.1004 0.5000  4 O 1.98-2.00
O 0.0814 0.3100 0.2522  1 W 1.97, 1 Li 2.00
K 0.6789 0.3211 0.0000  6 O 2.66-2.85
O 0.2158 0.2158 0.7824  1 W 1.96, 2 Li 1.98
O 0.3100 0.0814 0.2522  1 W 1.97, 1 Li 2.00
O 0.6900 0.9186 0.7478  1 W 1.97, 1 Li 2.00
O 0.9186 0.6900 0.7478  1 W 1.97, 1 Li 2.00
Li 0.5000 0.5000 0.5000  4 O 2.26
W 0.0000 0.0000 0.0000  6 O 1.96-1.97
Li 0.1004 0.8996 0.5000  4 O 1.98-2.00

Calculated values
Space group: C2/m
Theoretical density, g cm⁻³: 3.70
Electronic total energy, eV/atom: -5.535